The following is a DFT calculation (PBE) of an optimized crystal structure of Np2CuPt9.

abc: 4.1047 4.1047 12.0596
angles: 90.00 90.00 90.00
Fractional positions:
Np (0.0000, 0.0000, 0.1776)
Np (0.0000, 0.0000, 0.8224)
Cu (0.0000, 0.0000, 0.5000)
Pt (0.0000, 0.5000, 0.0000)
Pt (0.0000, 0.5000, 0.3442)
Pt (0.0000, 0.5000, 0.6558)
Pt (0.5000, 0.0000, 0.0000)
Pt (0.5000, 0.0000, 0.3442)
Pt (0.5000, 0.0000, 0.6558)
Pt (0.5000, 0.5000, 0.1715)
Pt (0.5000, 0.5000, 0.5000)
Pt (0.5000, 0.5000, 0.8285)

Values from the calculation:
As for the formation enthalpy at 0 K: -436.7 meV/atom. Its density of states at the Fermi level is 31.52 states/eV/cell. As for the electronic total energy: -7.465 eV per atom. The calculation puts the theoretical density at 18742 kg/m³.